Entry 1:
VASP calculation (PBE) on a geometry-optimized Mo structure.

a b c (Å): 7.022 7.022 7.022
angles (deg): 90.00 90.00 90.00
Atoms (fractional coordinates):
Mo 0.250 0.000 0.500
Mo 0.750 0.000 0.500
Mo 0.000 0.500 0.250
Mo 0.000 0.500 0.750
Mo 0.500 0.250 0.000
Mo 0.500 0.750 0.000
Mo 0.000 0.750 0.500
Mo 0.000 0.250 0.500
Mo 0.750 0.500 0.000
Mo 0.250 0.500 0.000
Mo 0.500 0.000 0.750
Mo 0.500 0.000 0.250

Results
The calculated total energy is -0.309 Ha/atom. Its magnetization is 0.00 μB/cell.



Entry 2:
VASP calculation (PBE) on a geometry-optimized V2CoTeAu structure.

a b c (Å): 4.548 4.637 4.548
angles (deg): 90.00 90.00 90.00
Atoms (fractional coordinates):
Co 0.000 0.000 0.000
Te 0.000 0.500 0.000
Au 0.500 0.500 0.500
V 0.000 0.000 0.500
V 0.500 0.000 0.000

Results
The formation energy without anion corrections is 0.734 eV per atom. Its magnetization is 3.92 μB/cell.



Entry 3:
VASP calculation (PBE) on a geometry-optimized Ba2Sn2F7 structure.

a b c (Å): 6.287 5.868 6.287
angles (deg): 89.99 90.59 90.01
Atoms (fractional coordinates):
Ba 0.740 0.500 0.740
Ba 0.260 0.500 0.260
Sn 0.740 0.000 0.260
Sn 0.260 0.000 0.740
F 0.000 0.242 0.500
F 0.500 0.758 0.000
F 0.000 0.758 0.500
F 0.500 0.242 0.000
F 0.000 0.000 0.000
F 0.500 0.757 0.500
F 0.500 0.243 0.500

Results
The formation energy without anion corrections is -2.778 eV per atom. Its magnetization is 0.00 μB/cell.



Entry 4:
VASP calculation (PBE) on a geometry-optimized Ca2AlMo structure.

a b c (Å): 3.524 3.524 8.375
angles (deg): 90.00 90.00 90.00
Atoms (fractional coordinates):
Mo 0.000 0.000 0.574
Ca 0.000 0.000 0.933
Ca 0.500 0.500 0.320
Al 0.500 0.500 0.672

Results
The calculated total energy is -0.163 Ha/atom. Its magnetization is 0.00 μB/cell.



Entry 5:
VASP calculation (PBE) on a geometry-optimized VPRu structure.

a b c (Å): 3.665 6.137 10.571
angles (deg): 88.77 90.00 90.00
Atoms (fractional coordinates):
V 0.750 0.534 0.387
V 0.250 0.978 0.712
V 0.750 0.022 0.288
V 0.750 0.654 0.077
V 0.250 0.466 0.613
V 0.250 0.346 0.923
P 0.250 0.752 0.915
P 0.750 0.270 0.745
P 0.750 0.757 0.586
P 0.750 0.248 0.085
P 0.250 0.243 0.414
P 0.250 0.730 0.255
Ru 0.250 0.976 0.092
Ru 0.250 0.851 0.461
Ru 0.750 0.632 0.794
Ru 0.750 0.149 0.539
Ru 0.250 0.368 0.206
Ru 0.750 0.024 0.908

Results
The calculated total energy is -0.316 Ha/atom. Its magnetization is 0.92 μB/cell.



Entry 6:
VASP calculation (PBE) on a geometry-optimized KNa2AlHg structure.

a b c (Å): 5.869 5.869 5.137
angles (deg): 90.00 90.00 90.00
Atoms (fractional coordinates):
Na 0.000 0.500 0.000
Na 0.500 0.000 0.000
K 0.500 0.500 0.500
Hg 0.000 0.000 0.000
Al 0.000 0.000 0.500

Results
The calculated total energy is -0.055 Ha/atom. Its magnetization is 0.00 μB/cell.



Q: magnetization of number 5 (VPRu)?
A: 0.92 μB/cell



Q: Look up the magnetization of the fourth one.
A: 0.00 μB/cell